# 1
The following is a GGA-PBE calculation of a relaxed HfCuNi crystal, from Alexandria via LeMat-Bulk.

It has space group P-6m2 (No. 187), with a = 4.1519 Å, b = 4.1519 Å, c = 2.9842 Å, α = 90.00°, β = 90.00° and γ = 120.00°. The distinct sites, in fractional coordinates, are Hf at (0.0000, 0.0000, 0.0000), Cu at (0.3333, 0.6667, 0.5000) and Ni at (0.6667, 0.3333, 0.5000).

As for the formation energy: -255 meV per atom. The mass density comes out at 11.21 g/cm3. Its spin magnetization is 0.000 μB/f.u.

---

# 2
The following is a GGA-PBE calculation of a relaxed HfCuNi crystal, from Alexandria via LeMat-Bulk.

It has space group I4mm (No. 107), with a = 3.291 Å, b = 3.291 Å, c = 8.164 Å, α = 90.00°, β = 90.00° and γ = 90.00°. The distinct sites, in fractional coordinates, are Hf at (0.000, 0.000, 0.000), Cu at (0.000, 0.000, 0.675) and Ni at (0.000, 0.000, 0.339).

As for the formation energy: -356 meV per atom. The mass density comes out at 11.29 g/cm3. Its spin magnetization is 0.000 μB/f.u.

---

# 3
The following is a GGA-PBE calculation of a relaxed HfCuNi crystal, from Alexandria via LeMat-Bulk.

It has space group Cmmm (No. 65), with a = 4.631 Å, b = 8.243 Å, c = 4.618 Å, α = 90.00°, β = 90.00° and γ = 90.00°. The distinct sites, in fractional coordinates, are Hf at (0.000, 0.000, 0.000), Hf at (0.000, 0.500, 0.500), Cu at (0.000, 0.175, 0.500) and Ni at (0.000, 0.335, 0.000).

As for the formation energy: -337 meV per atom. The mass density comes out at 11.33 g/cm3. Its spin magnetization is 0.000 μB/f.u.

---

- Among the records above, which one has the highest formation energy?
  number 1

---

- formation energy of number 3 (HfCuNi)?
  -337 meV per atom